First-principles (PBE) data for a relaxed Al2TcAu2 crystal, as listed in Alexandria via LeMat-Bulk.

Computed properties:
formation enthalpy at 0 K: 18.3 kJ/mol of atoms
polymorph energy (0 for the lowest one): 258 meV/atom

Cell lengths 6.476, 6.476, 6.476 Å; angles 144.93, 144.93, 50.44 degrees
Positions (direct):
Al (0.250, 0.750, 0.500)
Al (0.750, 0.250, 0.500)
Tc (0.000, 0.000, 0.000)
Au (0.388, 0.388, 0.000)
Au (0.612, 0.612, 0.000)